DFT (PBE) results for a geometry-optimized YNbTe2 structure.

POSCAR file:
```
YNbTe2
1.0
-3.570 -0.064 3.722
-4.572 2.260 -0.772
-4.243 -2.882 -0.546
Te Nb Y
2 1 1
Direct
0.000 0.000 0.000 Te
0.750 0.750 0.750 Te
0.250 0.250 0.250 Nb
0.500 0.500 0.500 Y
```

Results
Electronic total energy ... -5.551 eV per atom